The following is a DFT calculation (PBE-GGA) of a relaxed Nb3TeMo crystal.

Cell: 4.9330 4.9330 4.9330 Å, 90.00 90.00 90.00°
Last column: nearest neighbours and their distance in Å.
Sites, in units of the cell vectors:
Nb (0.0000, 0.0000, 0.5000)  2 Te 2.47
Nb (0.0000, 0.5000, 0.0000)  2 Te 2.47
Nb (0.5000, 0.0000, 0.0000)  2 Te 2.47
Te (0.0000, 0.0000, 0.0000)  6 Nb 2.47
Mo (0.5000, 0.5000, 0.5000)  12 Nb 3.49

Summary:
V: 24.009 A^3/atom
Mass density: 6.95 Mg/m³
Symmetry: Pm-3m, No. 221
Formation energy (no corrections): 1.7883 eV per atom
Total moment: 0.000 Bohr magnetons per cell
ΔE to the lowest computed polymorph: 3.535 eV/f.u.
Final energy: -0.5180 Ry/atom

=====

The following is a DFT calculation (PBE-GGA) of a relaxed NbTe4Mo crystal.

Cell: 7.7559 7.7559 6.2176 Å, 97.70 97.70 26.78°
Last column: nearest neighbours and their distance in Å.
Sites, in units of the cell vectors:
Nb (0.0000, 0.0000, 0.0000)  6 Te 2.79-2.80
Te (0.1227, 0.1227, 0.3796)  2 Mo 2.76, 1 Nb 2.79
Te (0.3747, 0.3747, 0.1293)  1 Mo 2.78, 2 Nb 2.80
Te (0.6256, 0.6256, 0.8725)  1 Mo 2.78, 2 Nb 2.80
Te (0.8771, 0.8771, 0.6214)  2 Mo 2.76, 1 Nb 2.79
Mo (0.5001, 0.5001, 0.5015)  6 Te 2.76-2.78

Summary:
V: 27.818 A^3/atom
Mass density: 6.96 Mg/m³
Symmetry: Cm, No. 8
Formation energy (no corrections): -0.2807 eV per atom
Total moment: 0.000 Bohr magnetons per cell
ΔE to the lowest computed polymorph: 0.000 eV/f.u.
Final energy: -0.4306 Ry/atom

=====

The following is a DFT calculation (PBE-GGA) of a relaxed Nb3TeMo crystal.

Cell: 4.8887 4.8887 4.8887 Å, 90.00 90.00 90.00°
Last column: nearest neighbours and their distance in Å.
Sites, in units of the cell vectors:
Nb (0.0000, 0.0000, 0.5000)  2 Mo 2.44
Nb (0.0000, 0.5000, 0.0000)  2 Mo 2.44
Nb (0.5000, 0.0000, 0.0000)  2 Mo 2.44
Te (0.5000, 0.5000, 0.5000)  12 Nb 3.46
Mo (0.0000, 0.0000, 0.0000)  6 Nb 2.44

Summary:
V: 23.367 A^3/atom
Mass density: 7.14 Mg/m³
Symmetry: Pm-3m, No. 221
Formation energy (no corrections): 1.0812 eV per atom
Total moment: 0.000 Bohr magnetons per cell
ΔE to the lowest computed polymorph: 0.000 eV/f.u.
Final energy: -0.5700 Ry/atom

=====

The following is a DFT calculation (PBE-GGA) of a relaxed NbTe4Mo crystal.

Cell: 10.7613 10.7613 6.4155 Å, 99.93 99.93 142.59°
Last column: nearest neighbours and their distance in Å.
Sites, in units of the cell vectors:
Nb (0.0739, 0.9261, 0.7500)  6 Te 2.73-2.88
Nb (0.9261, 0.0739, 0.2500)  6 Te 2.73-2.88
Te (0.0018, 0.6681, 0.9207)  1 Mo 2.68, 1 Nb 2.73
Te (0.2333, 0.3009, 0.7609)  2 Mo 2.79-2.80, 2 Nb 2.84-2.88
Te (0.3009, 0.2333, 0.2609)  2 Mo 2.79-2.80, 2 Nb 2.84-2.88
Te (0.3319, 0.9982, 0.5793)  1 Mo 2.68, 1 Nb 2.73
Te (0.6681, 0.0018, 0.4207)  1 Mo 2.68, 1 Nb 2.73
Te (0.6991, 0.7667, 0.7391)  2 Mo 2.79-2.80, 2 Nb 2.84-2.88
Te (0.7667, 0.6991, 0.2391)  2 Mo 2.79-2.80, 2 Nb 2.84-2.88
Te (0.9982, 0.3319, 0.0793)  1 Mo 2.68, 1 Nb 2.73
Mo (0.4229, 0.5771, 0.2500)  6 Te 2.68-2.80
Mo (0.5771, 0.4229, 0.7500)  6 Te 2.68-2.80

Summary:
V: 31.715 A^3/atom
Mass density: 6.10 Mg/m³
Symmetry: C2/c, No. 15
Formation energy (no corrections): -0.0694 eV per atom
Total moment: 0.823 Bohr magnetons per cell
ΔE to the lowest computed polymorph: 1.268 eV/f.u.
Final energy: -0.4151 Ry/atom

=====

The following is a DFT calculation (PBE-GGA) of a relaxed Nb2Te7Mo2 crystal.

Cell: 7.0979 7.0979 7.0362 Å, 95.17 95.17 121.97°
Last column: nearest neighbours and their distance in Å.
Sites, in units of the cell vectors:
Nb (0.1900, 0.8100, 0.0000)  6 Te 2.76-2.87
Nb (0.8100, 0.1900, 0.0000)  6 Te 2.76-2.87
Te (0.0447, 0.4442, 0.7178)  1 Mo 2.71, 2 Nb 2.76-2.83
Te (0.2194, 0.2194, 0.1346)  1 Mo 2.78, 2 Nb 2.87, 1 Te 2.92
Te (0.4442, 0.0447, 0.7178)  1 Mo 2.71, 2 Nb 2.76-2.83
Te (0.5000, 0.5000, 0.5000)  2 Te 2.92, 2 Mo 3.24
Te (0.5558, 0.9553, 0.2822)  1 Mo 2.71, 2 Nb 2.76-2.83
Te (0.7806, 0.7806, 0.8654)  1 Mo 2.78, 2 Nb 2.87, 1 Te 2.92
Te (0.9553, 0.5558, 0.2822)  1 Mo 2.71, 2 Nb 2.76-2.83
Mo (0.0864, 0.0864, 0.6579)  1 Mo 2.32
Mo (0.9136, 0.9136, 0.3421)  1 Mo 2.32

Summary:
V: 26.862 A^3/atom
Mass density: 7.14 Mg/m³
Symmetry: C2/m, No. 12
Formation energy (no corrections): -0.0053 eV per atom
Total moment: 0.000 Bohr magnetons per cell
Final energy: -0.4266 Ry/atom

=====

The following is a DFT calculation (PBE-GGA) of a relaxed ThNbMo crystal.

Cell: 6.9615 6.9615 4.7888 Å, 90.00 90.00 120.00°
Last column: nearest neighbours and their distance in Å.
Sites, in units of the cell vectors:
Th (0.0000, 0.5537, 0.0000)  5 Nb 3.11-3.15, 2 Mo 3.30
Th (0.4463, 0.4463, 0.0000)  5 Nb 3.11-3.15, 2 Mo 3.30
Th (0.5537, 0.0000, 0.0000)  5 Nb 3.11-3.15, 2 Mo 3.30
Nb (0.0000, 0.0000, 0.0000)  6 Mo 2.87, 3 Th 3.11
Nb (0.3333, 0.6667, 0.5000)  3 Mo 2.76
Nb (0.6667, 0.3333, 0.5000)  3 Mo 2.76
Mo (0.0000, 0.2275, 0.5000)  2 Mo 2.74, 4 Nb 2.76-2.87
Mo (0.2275, 0.0000, 0.5000)  2 Mo 2.74, 4 Nb 2.76-2.87
Mo (0.7725, 0.7725, 0.5000)  2 Mo 2.74, 4 Nb 2.76-2.87

Summary:
V: 22.331 A^3/atom
Mass density: 10.43 Mg/m³
Symmetry: P-62m, No. 189
Formation energy from the elements: 30 kJ/mol of atoms
Total moment: 0.000 Bohr magnetons per cell
ΔE to the lowest computed polymorph: 0.382 eV/f.u.
Final energy: -0.6711 Ry/atom

=====

The following is a DFT calculation (PBE-GGA) of a relaxed ThNbMo crystal.

Cell: 6.1070 6.1070 6.1070 Å, 147.70 147.70 46.32°
Last column: nearest neighbours and their distance in Å.
Sites, in units of the cell vectors:
Th (0.0000, 0.0000, 0.0000)  4 Mo 3.13, 5 Nb 3.26-3.41, 4 Th 3.40
Nb (0.3033, 0.3033, 0.0000)  4 Mo 2.78
Mo (0.6791, 0.6791, 0.0000)  4 Nb 2.78

Summary:
V: 21.596 A^3/atom
Mass density: 10.79 Mg/m³
Symmetry: I4mm, No. 107
Formation energy from the elements: 18 kJ/mol of atoms
Total moment: 0.000 Bohr magnetons per cell
ΔE to the lowest computed polymorph: 0.000 eV/f.u.
Final energy: -0.6805 Ry/atom

=====

The following is a DFT calculation (PBE-GGA) of a relaxed Ti2Nb3Mo crystal.

Cell: 4.6190 6.5772 7.2230 Å, 90.00 108.56 90.00°
Last column: nearest neighbours and their distance in Å.
Sites, in units of the cell vectors:
Ti (0.0000, 0.0000, 0.0000)  8 Nb 2.87-2.88
Ti (0.0000, 0.5000, 0.0000)  8 Nb 2.80-2.81
Ti (0.3340, 0.0000, 0.6671)  8 Nb 2.82-2.87
Ti (0.6660, 0.0000, 0.3329)  8 Nb 2.82-2.87
Nb (0.1700, 0.2594, 0.3397)  3 Mo 2.76-2.80, 5 Ti 2.81-2.88
Nb (0.1700, 0.7406, 0.3397)  3 Mo 2.76-2.80, 5 Ti 2.81-2.88
Nb (0.5000, 0.2595, 0.0000)  2 Mo 2.76, 6 Ti 2.80-2.87
Nb (0.5000, 0.7405, 0.0000)  2 Mo 2.76, 6 Ti 2.80-2.87
Nb (0.8300, 0.2594, 0.6603)  3 Mo 2.76-2.80, 5 Ti 2.81-2.88
Nb (0.8300, 0.7406, 0.6603)  3 Mo 2.76-2.80, 5 Ti 2.81-2.88
Mo (0.3353, 0.5000, 0.6705)  8 Nb 2.76-2.80
Mo (0.6647, 0.5000, 0.3295)  8 Nb 2.76-2.80

Summary:
V: 17.335 A^3/atom
Mass density: 7.51 Mg/m³
Symmetry: P2/m, No. 10
Formation energy from the elements: -2 kJ/mol of atoms
Total moment: 0.000 Bohr magnetons per cell
Final energy: -0.6977 Ry/atom

=====

The following is a DFT calculation (PBE-GGA) of a relaxed TiNb6Mo12 crystal.

Cell: 7.2567 7.2567 7.2567 Å, 94.00 94.00 94.00°
Last column: nearest neighbours and their distance in Å.
Sites, in units of the cell vectors:
Ti (0.0000, 0.0000, 0.0000)  6 Nb 2.93
Nb (0.1681, 0.1681, 0.6902)  6 Mo 2.61-2.86
Nb (0.1681, 0.6902, 0.1681)  6 Mo 2.61-2.86
Nb (0.3098, 0.8319, 0.8319)  6 Mo 2.61-2.86
Nb (0.6902, 0.1681, 0.1681)  6 Mo 2.61-2.86
Nb (0.8319, 0.3098, 0.8319)  6 Mo 2.61-2.86
Nb (0.8319, 0.8319, 0.3098)  6 Mo 2.61-2.86
Mo (0.1521, 0.5000, 0.8479)  4 Nb 2.61, 2 Mo 2.69
Mo (0.1521, 0.8479, 0.5000)  4 Nb 2.61, 2 Mo 2.69
Mo (0.2304, 0.4910, 0.4910)  6 Mo 2.69-2.77, 2 Nb 2.86
Mo (0.4910, 0.2304, 0.4910)  6 Mo 2.69-2.77, 2 Nb 2.86
Mo (0.4910, 0.4910, 0.2304)  6 Mo 2.69-2.77, 2 Nb 2.86
Mo (0.5000, 0.1521, 0.8479)  4 Nb 2.61, 2 Mo 2.69
Mo (0.5000, 0.8479, 0.1521)  4 Nb 2.61, 2 Mo 2.69
Mo (0.5090, 0.5090, 0.7696)  6 Mo 2.69-2.77, 2 Nb 2.86
Mo (0.5090, 0.7696, 0.5090)  6 Mo 2.69-2.77, 2 Nb 2.86
Mo (0.7696, 0.5090, 0.5090)  6 Mo 2.69-2.77, 2 Nb 2.86
Mo (0.8479, 0.1521, 0.5000)  4 Nb 2.61, 2 Mo 2.69
Mo (0.8479, 0.5000, 0.1521)  4 Nb 2.61, 2 Mo 2.69

Summary:
V: 19.958 A^3/atom
Mass density: 7.69 Mg/m³
Symmetry: R-3m, No. 166
Formation energy from the elements: 88 kJ/mol of atoms
Total moment: 0.000 Bohr magnetons per cell
Final energy: -0.7000 Ry/atom

=====

The following is a DFT calculation (PBE-GGA) of a relaxed TiNbMo crystal.

Cell: 4.5271 4.5271 2.8439 Å, 90.00 90.00 120.00°
Last column: nearest neighbours and their distance in Å.
Sites, in units of the cell vectors:
Ti (0.0000, 0.0000, 0.0000)  3 Mo 2.77, 3 Nb 2.84, 2 Ti 2.84
Nb (0.3333, 0.6667, 0.6129)  3 Mo 2.74, 3 Ti 2.84, 2 Nb 2.84
Mo (0.6667, 0.3333, 0.3254)  3 Nb 2.74, 3 Ti 2.77, 2 Mo 2.84

Summary:
V: 16.825 A^3/atom
Mass density: 7.79 Mg/m³
Symmetry: P3m1, No. 156
Formation energy from the elements: -9 kJ/mol of atoms
Total moment: 0.000 Bohr magnetons per cell
ΔE to the lowest computed polymorph: 0.000 eV/f.u.
Final energy: -0.7121 Ry/atom

=====

The following is a DFT calculation (PBE-GGA) of a relaxed TiNb5Mo6 crystal.

Cell: 7.8712 7.8712 4.5679 Å, 106.84 106.84 119.71°
Last column: nearest neighbours and their distance in Å.
Sites, in units of the cell vectors:
Ti (0.0000, 0.0000, 0.0000)  8 Mo 2.78-2.80
Nb (0.1649, 0.8351, 0.5000)  8 Mo 2.77-2.81
Nb (0.3332, 0.6668, 0.0000)  8 Mo 2.79-2.80
Nb (0.5000, 0.5000, 0.5000)  8 Mo 2.78-2.80
Nb (0.6668, 0.3332, 0.0000)  8 Mo 2.79-2.80
Nb (0.8351, 0.1649, 0.5000)  8 Mo 2.77-2.81
Mo (0.0836, 0.4166, 0.2502)  7 Nb 2.78-2.81, 1 Ti 2.78
Mo (0.2501, 0.2501, 0.7502)  6 Nb 2.77-2.80, 2 Ti 2.80
Mo (0.4166, 0.0836, 0.2502)  7 Nb 2.78-2.81, 1 Ti 2.78
Mo (0.5834, 0.9164, 0.7498)  7 Nb 2.78-2.81, 1 Ti 2.78
Mo (0.7499, 0.7499, 0.2498)  6 Nb 2.77-2.80, 2 Ti 2.80
Mo (0.9164, 0.5834, 0.7498)  7 Nb 2.78-2.81, 1 Ti 2.78

Summary:
V: 16.730 A^3/atom
Mass density: 9.00 Mg/m³
Symmetry: C2/m, No. 12
Formation energy from the elements: -12 kJ/mol of atoms
Total moment: 0.000 Bohr magnetons per cell
Final energy: -0.7639 Ry/atom

=====

The following is a DFT calculation (PBE-GGA) of a relaxed Ti2NbMo crystal.

Cell: 3.1495 3.1495 6.7602 Å, 90.00 90.00 90.00°
Last column: nearest neighbours and their distance in Å.
Sites, in units of the cell vectors:
Ti (0.0000, 0.0000, 0.2271)  4 Mo 2.70, 4 Nb 2.89
Ti (0.0000, 0.0000, 0.7729)  4 Mo 2.70, 4 Nb 2.89
Nb (0.5000, 0.5000, 0.5000)  8 Ti 2.89, 4 Nb 3.15
Mo (0.5000, 0.5000, 0.0000)  8 Ti 2.70

Summary:
V: 16.764 A^3/atom
Mass density: 7.05 Mg/m³
Symmetry: P4/mmm, No. 123
Formation energy from the elements: -1 kJ/mol of atoms
Total moment: 0.000 Bohr magnetons per cell
ΔE to the lowest computed polymorph: 0.163 eV/f.u.
Final energy: -0.6751 Ry/atom

=====

The following is a DFT calculation (PBE-GGA) of a relaxed TiNb2Mo crystal.

Cell: 5.8284 5.8284 5.8284 Å, 103.24 103.24 122.82°
Last column: nearest neighbours and their distance in Å.
Sites, in units of the cell vectors:
Ti (0.0000, 0.0000, 0.0000)  4 Nb 2.72, 2 Mo 2.79
Ti (0.7500, 0.2500, 0.5000)  4 Nb 2.72, 2 Mo 2.79
Nb (0.1381, 0.6250, 0.0131)  2 Mo 2.59, 2 Ti 2.72, 2 Nb 2.80
Nb (0.3750, 0.3881, 0.5131)  2 Mo 2.59, 2 Ti 2.72, 2 Nb 2.80
Nb (0.6119, 0.1250, 0.9869)  2 Mo 2.59, 2 Ti 2.72, 2 Nb 2.80
Nb (0.8750, 0.8619, 0.4869)  2 Mo 2.59, 2 Ti 2.72, 2 Nb 2.80
Mo (0.2500, 0.7500, 0.5000)  4 Nb 2.59, 2 Ti 2.79
Mo (0.5000, 0.5000, 0.0000)  4 Nb 2.59, 2 Ti 2.79

Summary:
V: 18.262 A^3/atom
Mass density: 7.49 Mg/m³
Symmetry: I-42d, No. 122
Formation energy from the elements: 50 kJ/mol of atoms
Total moment: 0.000 Bohr magnetons per cell
Final energy: -0.6761 Ry/atom